First-principles (GGA+U) data for a relaxed BaCr2TeO8 crystal, as listed in Alexandria via LeMat-Bulk.

- SG: P-1, No. 2
- Raw total energy: -6.49 eV per atom
- N(E_F): 0.46 states/eV/f.u.

Unit cell a=5.234 b=5.267 c=7.972 alpha=87.74 beta=87.56 gamma=66.87
Each line ends with the local moment (μB).
Sites, in units of the cell vectors:
O 0.260 0.768 0.200  -0.02
O 0.225 0.737 0.799  -0.02
O 0.775 0.263 0.201  -0.02
O 0.245 0.240 0.953  -0.06
O 0.312 0.302 0.590  -0.06
O 0.740 0.232 0.800  -0.02
O 0.755 0.760 0.047  -0.06
O 0.688 0.698 0.410  -0.06
Ba 0.000 0.000 0.500  0.00
Te 0.000 0.000 0.000  0.00
Cr 0.372 0.371 0.783  1.15
Cr 0.628 0.629 0.217  1.15